## MoNOF2 (GGA+U)

Data for a relaxed structure of MoNOF2.

Computed properties:
D(E_F), states/eV/f.u.: 2.3
ΔE to the lowest computed polymorph, kJ/mol of formula units: 581

a b c (Å): 3.6779 3.6779 3.9954
angles (deg): 90.00 90.00 90.00
Fractional positions:
Mo  0.0000  0.0000  0.0000
N  0.5000  0.5000  0.0000
O  0.5000  0.5000  0.5000
F  0.0000  0.5000  0.5000
F  0.5000  0.0000  0.5000